Material: CaFeRe2O
Method: DFT, PBE with a Hubbard U
State: optimized geometry

POSCAR file:
```
CaFeRe2O
1.0
5.414 0.000 0.000
0.000 5.414 0.000
0.000 0.000 4.113
Ca Fe Re O
1 1 2 1
Direct
0.000 0.000 0.000 Ca
0.500 0.500 0.500 Fe
0.000 0.500 0.000 Re
0.500 0.000 0.000 Re
0.000 0.000 0.500 O
```

Results
**D(E_F)**: 4.1 states/eV/cell
**Raw total energy**: -5.07 eV/atom
**SG**: P4/mmm, No. 123